Entry one
! SrCrMoW2 | the Alexandria database | PBE | relaxed; values from VASP
! * SG: P4/mmm, No. 123
! * N(E_F): 0.68 states/eV/atom
&SYSTEM
  ibrav = 0, nat = 5, ntyp = 4
/
ATOMIC_SPECIES
Sr 87.62 Sr.upf
Mo 95.94 Mo.upf
W 183.84 W.upf
Cr 52.00 Cr.upf
CELL_PARAMETERS angstrom
-3.500 -1.784 2.555
0.142 -3.930 -2.550
3.113 -1.827 2.989
ATOMIC_POSITIONS crystal
Sr 0.500 0.500 0.500
Mo 0.000 0.500 0.000
W 0.000 0.000 0.500
W 0.500 0.000 0.000
Cr 0.000 0.000 0.000

***

Entry two
! SrCrMoW2 | the Alexandria database | PBE | relaxed; values from VASP
! * SG: P4/mmm, No. 123
! * N(E_F): 1.02 states/eV/atom
&SYSTEM
  ibrav = 0, nat = 5, ntyp = 4
/
ATOMIC_SPECIES
Sr 87.62 Sr.upf
Mo 95.94 Mo.upf
W 183.84 W.upf
Cr 52.00 Cr.upf
CELL_PARAMETERS angstrom
-1.059 3.244 -3.333
-4.048 0.251 1.530
1.338 3.486 2.968
ATOMIC_POSITIONS crystal
Sr 0.000 0.000 0.000
Mo 0.500 0.500 0.500
W 0.000 0.000 0.500
W 0.500 0.000 0.000
Cr 0.000 0.500 0.000

***

Referenced to the most stable arrangement, the calculated values in meV/atom are entry one 0; entry two 2040.

***

Entry one
! TaCr2Mo2 | the Alexandria database | PBE | relaxed; values from VASP
! * SG: I4/mmm, No. 139
! * N(E_F): 1.27 states/eV/atom
&SYSTEM
  ibrav = 0, nat = 5, ntyp = 3
/
ATOMIC_SPECIES
Cr 52.00 Cr.upf
Mo 95.94 Mo.upf
Ta 180.95 Ta.upf
CELL_PARAMETERS angstrom
4.073 0.000 0.000
0.000 4.073 0.000
2.037 2.037 4.817
ATOMIC_POSITIONS crystal
Cr 0.389 0.389 0.223
Cr 0.611 0.611 0.777
Mo 0.750 0.250 0.500
Mo 0.250 0.750 0.500
Ta 0.000 0.000 0.000

***

Entry two
! TaCr2Mo2 | the Alexandria database | PBE | relaxed; values from VASP
! * SG: P4/mbm, No. 127
! * N(E_F): 1.62 states/eV/atom
&SYSTEM
  ibrav = 0, nat = 10, ntyp = 3
/
ATOMIC_SPECIES
Cr 52.00 Cr.upf
Mo 95.94 Mo.upf
Ta 180.95 Ta.upf
CELL_PARAMETERS angstrom
7.151 0.000 0.000
0.000 7.151 0.000
0.000 0.000 2.936
ATOMIC_POSITIONS crystal
Cr 0.358 0.858 0.000
Cr 0.858 0.642 0.000
Cr 0.642 0.142 0.000
Cr 0.142 0.358 0.000
Mo 0.160 0.660 0.500
Mo 0.660 0.840 0.500
Mo 0.840 0.340 0.500
Mo 0.340 0.160 0.500
Ta 0.000 0.000 0.000
Ta 0.500 0.500 0.000

***

Referenced to the most stable arrangement, the calculated values in meV/atom are entry one 183; entry two 0.

***

Entry one
! TaCrMo2 | the Alexandria database | PBE | relaxed; values from VASP
! * SG: F-43m, No. 216
! * N(E_F): 0.79 states/eV/atom
&SYSTEM
  ibrav = 0, nat = 4, ntyp = 3
/
ATOMIC_SPECIES
Cr 52.00 Cr.upf
Mo 95.94 Mo.upf
Ta 180.95 Ta.upf
CELL_PARAMETERS angstrom
-3.121 -2.563 -1.821
-2.518 -2.587 2.568
-4.283 0.965 0.594
ATOMIC_POSITIONS crystal
Cr 0.500 0.500 0.500
Mo 0.000 0.000 0.000
Mo 0.250 0.250 0.250
Ta 0.750 0.750 0.750

***

Entry two
! TaCrMo2 | the Alexandria database | PBE | relaxed; values from VASP
! * SG: I-42d, No. 122
! * N(E_F): 0.98 states/eV/atom
&SYSTEM
  ibrav = 0, nat = 8, ntyp = 3
/
ATOMIC_SPECIES
Cr 52.00 Cr.upf
Mo 95.94 Mo.upf
Ta 180.95 Ta.upf
CELL_PARAMETERS angstrom
-1.875 0.495 -6.775
3.932 -5.651 -1.501
-1.055 -4.151 -3.676
ATOMIC_POSITIONS crystal
Cr 0.500 0.500 0.000
Cr 0.250 0.750 0.500
Mo 0.593 0.125 0.250
Mo 0.157 0.625 0.250
Mo 0.375 0.407 0.750
Mo 0.875 0.843 0.750
Ta 0.000 0.000 0.000
Ta 0.750 0.250 0.500

***

Entry three
! TaCrMo2 | the Alexandria database | PBE | relaxed; values from VASP
! * SG: P2/m, No. 10
! * N(E_F): 0.51 states/eV/atom
&SYSTEM
  ibrav = 0, nat = 4, ntyp = 3
/
ATOMIC_SPECIES
Cr 52.00 Cr.upf
Mo 95.94 Mo.upf
Ta 180.95 Ta.upf
CELL_PARAMETERS angstrom
-3.815 2.057 -0.749
-1.374 -2.202 0.949
-0.326 1.218 5.008
ATOMIC_POSITIONS crystal
Cr 0.500 0.750 0.750
Mo 0.000 0.993 0.993
Mo 0.000 0.507 0.507
Ta 0.500 0.250 0.250

***

Referenced to the most stable arrangement, the calculated values in meV/atom are entry one 0; entry two 729; entry three 47.

***

Entry one
! Ta3CrMo | the Alexandria database | PBE | relaxed; values from VASP
! * SG: Pm-3m, No. 221
! * N(E_F): 1.91 states/eV/atom
&SYSTEM
  ibrav = 0, nat = 5, ntyp = 3
/
ATOMIC_SPECIES
Cr 52.00 Cr.upf
Mo 95.94 Mo.upf
Ta 180.95 Ta.upf
CELL_PARAMETERS angstrom
4.562 0.000 0.000
0.000 4.562 0.000
0.000 0.000 4.562
ATOMIC_POSITIONS crystal
Cr 0.000 0.000 0.000
Mo 0.500 0.500 0.500
Ta 0.000 0.500 0.000
Ta 0.000 0.000 0.500
Ta 0.500 0.000 0.000

***

Entry two
! Ta3CrMo | the Alexandria database | PBE | relaxed; values from VASP
! * SG: Pm-3m, No. 221
! * N(E_F): 1.00 states/eV/atom
&SYSTEM
  ibrav = 0, nat = 5, ntyp = 3
/
ATOMIC_SPECIES
Cr 52.00 Cr.upf
Mo 95.94 Mo.upf
Ta 180.95 Ta.upf
CELL_PARAMETERS angstrom
4.821 0.000 0.000
0.000 4.821 0.000
0.000 0.000 4.821
ATOMIC_POSITIONS crystal
Cr 0.500 0.500 0.500
Mo 0.000 0.000 0.000
Ta 0.000 0.500 0.000
Ta 0.000 0.000 0.500
Ta 0.500 0.000 0.000

***

Referenced to the most stable arrangement, the calculated values in meV/atom are entry one 0; entry two 425.

***

Entry one
! Ta4CrMo | the Alexandria database | PBE | relaxed; values from VASP
! * SG: F-43m, No. 216
! * N(E_F): 1.03 states/eV/atom
&SYSTEM
  ibrav = 0, nat = 6, ntyp = 3
/
ATOMIC_SPECIES
Ta 180.95 Ta.upf
Cr 52.00 Cr.upf
Mo 95.94 Mo.upf
CELL_PARAMETERS angstrom
-1.472 -4.873 1.721
-3.798 -2.744 -2.630
1.320 -4.365 -2.842
ATOMIC_POSITIONS crystal
Ta 0.875 0.375 0.375
Ta 0.375 0.375 0.875
Ta 0.375 0.875 0.375
Ta 0.375 0.375 0.375
Cr 0.750 0.750 0.750
Mo 0.000 0.000 0.000

***

Entry two
! Ta4CrMo | the Alexandria database | PBE | relaxed; values from VASP
! * SG: P4/mmm, No. 123
! * N(E_F): 1.16 states/eV/atom
&SYSTEM
  ibrav = 0, nat = 6, ntyp = 3
/
ATOMIC_SPECIES
Ta 180.95 Ta.upf
Cr 52.00 Cr.upf
Mo 95.94 Mo.upf
CELL_PARAMETERS angstrom
-2.350 2.126 0.440
-2.171 -2.289 -0.535
-0.127 -2.116 9.559
ATOMIC_POSITIONS crystal
Ta 0.500 0.500 0.847
Ta 0.500 0.500 0.153
Ta 0.000 0.000 0.663
Ta 0.000 0.000 0.337
Cr 0.000 0.000 0.000
Mo 0.500 0.500 0.500

***

Entry three
! Ta4CrMo | the Alexandria database | PBE | relaxed; values from VASP
! * SG: P4/mmm, No. 123
! * N(E_F): 0.83 states/eV/atom
&SYSTEM
  ibrav = 0, nat = 6, ntyp = 3
/
ATOMIC_SPECIES
Ta 180.95 Ta.upf
Cr 52.00 Cr.upf
Mo 95.94 Mo.upf
CELL_PARAMETERS angstrom
4.332 0.000 -0.001
0.000 4.333 -0.002
0.003 0.005 6.183
ATOMIC_POSITIONS crystal
Ta 0.501 0.997 0.259
Ta 0.501 0.997 0.738
Ta 0.001 0.497 0.738
Ta 0.001 0.497 0.259
Cr 0.001 0.997 0.498
Mo 0.501 0.497 0.998

***

Referenced to the most stable arrangement, the calculated values in meV/atom are entry one 607; entry two 0; entry three 632.

***

Entry one
! TaCrMo | the Alexandria database | PBE | relaxed; values from VASP
! * SG: Amm2, No. 38
! * N(E_F): 0.50 states/eV/atom
&SYSTEM
  ibrav = 0, nat = 12, ntyp = 3
/
ATOMIC_SPECIES
Cr 52.00 Cr.upf
Mo 95.94 Mo.upf
Ta 180.95 Ta.upf
CELL_PARAMETERS angstrom
4.426 0.000 0.000
0.000 3.121 0.000
0.000 0.000 13.237
ATOMIC_POSITIONS crystal
Cr 0.500 0.000 0.147
Cr 0.500 0.500 0.647
Cr 0.000 0.000 0.984
Cr 0.000 0.500 0.484
Mo 0.000 0.000 0.325
Mo 0.000 0.500 0.825
Mo 0.500 0.000 0.493
Mo 0.500 0.500 0.993
Ta 0.000 0.000 0.649
Ta 0.000 0.500 0.149
Ta 0.500 0.000 0.817
Ta 0.500 0.500 0.317

***

Entry two
! TaCrMo | the Alexandria database | PBE | relaxed; values from VASP
! * SG: P3m1, No. 156
! * N(E_F): 0.61 states/eV/atom
&SYSTEM
  ibrav = 0, nat = 3, ntyp = 3
/
ATOMIC_SPECIES
Cr 52.00 Cr.upf
Mo 95.94 Mo.upf
Ta 180.95 Ta.upf
CELL_PARAMETERS angstrom
4.365 0.000 0.000
-2.182 3.780 0.000
0.000 0.000 2.781
ATOMIC_POSITIONS crystal
Cr 0.000 0.000 0.010
Mo 0.667 0.333 0.322
Ta 0.333 0.667 0.669

***

Referenced to the most stable arrangement, the calculated values in meV/atom are entry one 0; entry two 82.

***

Entry one
! TaCrMo | the Alexandria database | PBE | relaxed; values from VASP
! * SG: I4mm, No. 107
! * N(E_F): 0.57 states/eV/atom
&SYSTEM
  ibrav = 0, nat = 3, ntyp = 3
/
ATOMIC_SPECIES
Cr 52.00 Cr.upf
Mo 95.94 Mo.upf
Ta 180.95 Ta.upf
CELL_PARAMETERS angstrom
5.196 -0.005 0.000
3.333 3.987 0.000
-4.264 -1.991 2.203
ATOMIC_POSITIONS crystal
Cr 0.996 0.996 0.000
Mo 0.342 0.342 0.000
Ta 0.662 0.662 0.000

***

Entry two
! TaCrMo | the Alexandria database | PBE | relaxed; values from VASP
! * SG: Amm2, No. 38
! * N(E_F): 0.47 states/eV/atom
&SYSTEM
  ibrav = 0, nat = 12, ntyp = 3
/
ATOMIC_SPECIES
Cr 52.00 Cr.upf
Mo 95.94 Mo.upf
Ta 180.95 Ta.upf
CELL_PARAMETERS angstrom
3.128 0.000 0.000
0.000 4.433 0.000
0.000 0.000 13.229
ATOMIC_POSITIONS crystal
Cr 0.000 0.000 0.145
Cr 0.000 0.500 0.645
Cr 0.500 0.000 0.990
Cr 0.500 0.500 0.490
Mo 0.000 0.000 0.825
Mo 0.000 0.500 0.325
Mo 0.000 0.000 0.487
Mo 0.000 0.500 0.987
Ta 0.500 0.000 0.651
Ta 0.500 0.500 0.151
Ta 0.500 0.000 0.317
Ta 0.500 0.500 0.817

***

Entry three
! TaCrMo | the Alexandria database | PBE | relaxed; values from VASP
! * SG: Cmmm, No. 65
! * N(E_F): 0.48 states/eV/atom
&SYSTEM
  ibrav = 0, nat = 12, ntyp = 3
/
ATOMIC_SPECIES
Cr 52.00 Cr.upf
Mo 95.94 Mo.upf
Ta 180.95 Ta.upf
CELL_PARAMETERS angstrom
-2.803 6.493 -6.233
-3.125 1.366 2.829
2.825 2.880 1.730
ATOMIC_POSITIONS crystal
Cr 0.173 0.000 0.500
Cr 0.827 0.000 0.500
Cr 0.673 0.500 0.500
Cr 0.327 0.500 0.500
Mo 0.673 0.000 0.000
Mo 0.327 0.000 0.000
Mo 0.173 0.500 0.000
Mo 0.827 0.500 0.000
Ta 0.500 0.000 0.500
Ta 0.000 0.500 0.500
Ta 0.000 0.000 0.000
Ta 0.500 0.500 0.000

***

Entry four
! TaCrMo | the Alexandria database | PBE | relaxed; values from VASP
! * SG: F-43m, No. 216
! * N(E_F): 0.63 states/eV/atom
&SYSTEM
  ibrav = 0, nat = 3, ntyp = 3
/
ATOMIC_SPECIES
Cr 52.00 Cr.upf
Mo 95.94 Mo.upf
Ta 180.95 Ta.upf
CELL_PARAMETERS angstrom
-3.617 1.147 1.779
-3.577 -1.870 -1.129
-1.941 -2.591 2.662
ATOMIC_POSITIONS crystal
Cr 0.750 0.750 0.750
Mo 0.000 0.000 0.000
Ta 0.500 0.500 0.500

***

Referenced to the most stable arrangement, the calculated values in meV/atom are entry one 0; entry two 41; entry three 13; entry four 665.

***

Entry one
! TaCrMo | the Alexandria database | PBE | relaxed; values from VASP
! * SG: P3m1, No. 156
! * N(E_F): 0.86 states/eV/atom
&SYSTEM
  ibrav = 0, nat = 3, ntyp = 3
/
ATOMIC_SPECIES
Cr 52.00 Cr.upf
Mo 95.94 Mo.upf
Ta 180.95 Ta.upf
CELL_PARAMETERS angstrom
2.968 0.000 0.000
-1.484 2.571 0.000
0.000 0.000 6.196
ATOMIC_POSITIONS crystal
Cr 0.000 0.000 0.011
Mo 0.667 0.333 0.310
Ta 0.333 0.667 0.680

***

Entry two
! TaCrMo | the Alexandria database | PBE | relaxed; values from VASP
! * SG: Amm2, No. 38
! * N(E_F): 0.44 states/eV/atom
&SYSTEM
  ibrav = 0, nat = 12, ntyp = 3
/
ATOMIC_SPECIES
Cr 52.00 Cr.upf
Mo 95.94 Mo.upf
Ta 180.95 Ta.upf
CELL_PARAMETERS angstrom
4.399 0.000 0.000
0.000 3.130 0.000
0.000 0.000 13.327
ATOMIC_POSITIONS crystal
Cr 0.500 0.000 0.645
Cr 0.500 0.500 0.145
Cr 0.500 0.000 0.993
Cr 0.500 0.500 0.493
Mo 0.000 0.000 0.822
Mo 0.000 0.500 0.322
Mo 0.000 0.000 0.485
Mo 0.000 0.500 0.985
Ta 0.000 0.000 0.151
Ta 0.000 0.500 0.651
Ta 0.500 0.000 0.319
Ta 0.500 0.500 0.819

***

Referenced to the most stable arrangement, the calculated values in meV/atom are entry one 361; entry two 0.

***

Entry one
! TaCrMo | the Alexandria database | PBE | relaxed; values from VASP
! * SG: Fmmm, No. 69
! * N(E_F): 0.97 states/eV/atom
&SYSTEM
  ibrav = 0, nat = 6, ntyp = 3
/
ATOMIC_SPECIES
Ta 180.95 Ta.upf
Mo 95.94 Mo.upf
Cr 52.00 Cr.upf
CELL_PARAMETERS angstrom
-3.133 2.639 -2.809
-1.289 -1.201 4.644
4.028 2.999 0.548
ATOMIC_POSITIONS crystal
Ta 0.664 0.336 0.000
Ta 0.336 0.664 0.000
Mo 0.843 0.843 0.686
Mo 0.157 0.157 0.314
Cr 0.750 0.250 0.500
Cr 0.250 0.750 0.500

***

Entry two
! TaCrMo | the Alexandria database | PBE | relaxed; values from VASP
! * SG: Fmm2, No. 42
! * N(E_F): 0.50 states/eV/atom
&SYSTEM
  ibrav = 0, nat = 3, ntyp = 3
/
ATOMIC_SPECIES
Cr 52.00 Cr.upf
Mo 95.94 Mo.upf
Ta 180.95 Ta.upf
CELL_PARAMETERS angstrom
-1.567 -4.415 5.006
-2.432 -5.596 2.679
2.390 -1.102 0.791
ATOMIC_POSITIONS crystal
Cr 0.003 0.003 0.997
Mo 0.658 0.658 0.342
Ta 0.339 0.339 0.661

***

Referenced to the most stable arrangement, the calculated values in meV/atom are entry one 195; entry two 0.

***

Entry one
! CrTcMo2 | the Alexandria database | PBE | relaxed; values from VASP
! * SG: Imm2, No. 44
! * N(E_F): 0.98 states/eV/atom
&SYSTEM
  ibrav = 0, nat = 4, ntyp = 3
/
ATOMIC_SPECIES
Cr 52.00 Cr.upf
Mo 95.94 Mo.upf
Tc 98.00 Tc.upf
CELL_PARAMETERS angstrom
-0.579 0.071 5.063
2.392 -0.495 4.473
1.100 3.738 1.954
ATOMIC_POSITIONS crystal
Cr 0.255 0.255 0.245
Mo 0.995 0.995 0.005
Mo 0.746 0.746 0.753
Tc 0.503 0.503 0.497

***

Entry two
! CrTcMo2 | the Alexandria database | PBE | relaxed; values from VASP
! * SG: P4mm, No. 99
! * N(E_F): 0.83 states/eV/atom
&SYSTEM
  ibrav = 0, nat = 4, ntyp = 3
/
ATOMIC_SPECIES
Cr 52.00 Cr.upf
Mo 95.94 Mo.upf
Tc 98.00 Tc.upf
CELL_PARAMETERS angstrom
-2.643 1.549 0.297
0.207 -0.234 3.062
3.131 5.306 0.194
ATOMIC_POSITIONS crystal
Cr 0.500 0.500 0.759
Mo 0.000 0.000 0.983
Mo 0.500 0.500 0.256
Tc 0.000 0.000 0.502

***

Entry three
! CrTcMo2 | the Alexandria database | PBE | relaxed; values from VASP
! * SG: C2/m, No. 12
! * N(E_F): 1.09 states/eV/atom
&SYSTEM
  ibrav = 0, nat = 4, ntyp = 3
/
ATOMIC_SPECIES
Cr 52.00 Cr.upf
Mo 95.94 Mo.upf
Tc 98.00 Tc.upf
CELL_PARAMETERS angstrom
-1.362 -2.679 4.131
0.764 -2.608 -4.307
2.332 -1.190 0.579
ATOMIC_POSITIONS crystal
Cr 0.500 0.500 0.000
Mo 0.000 0.000 0.000
Mo 0.500 0.000 0.500
Tc 0.000 0.500 0.500

***

Referenced to the most stable arrangement, the calculated values in meV/atom are entry one 5; entry two 0; entry three 30.

***

Entry one
! CrTcMo2 | the Alexandria database | PBE | relaxed; values from VASP
! * SG: Pm, No. 6
! * N(E_F): 1.01 states/eV/atom
&SYSTEM
  ibrav = 0, nat = 4, ntyp = 3
/
ATOMIC_SPECIES
Cr 52.00 Cr.upf
Mo 95.94 Mo.upf
Tc 98.00 Tc.upf
CELL_PARAMETERS angstrom
-0.965 0.835 4.139
0.575 -2.540 0.647
4.976 0.459 1.068
ATOMIC_POSITIONS crystal
Cr 0.500 0.765 0.754
Mo 0.000 0.999 0.988
Mo 0.500 0.244 0.255
Tc 0.000 0.492 0.503

***

Entry two
! CrTcMo2 | the Alexandria database | PBE | relaxed; values from VASP
! * SG: I4/mmm, No. 139
! * N(E_F): 1.36 states/eV/atom
&SYSTEM
  ibrav = 0, nat = 4, ntyp = 3
/
ATOMIC_SPECIES
Cr 52.00 Cr.upf
Mo 95.94 Mo.upf
Tc 98.00 Tc.upf
CELL_PARAMETERS angstrom
4.958 0.232 0.000
1.869 4.598 0.000
-3.414 -2.415 2.674
ATOMIC_POSITIONS crystal
Cr 0.750 0.250 0.500
Mo 0.000 0.000 0.000
Mo 0.500 0.500 0.000
Tc 0.250 0.750 0.500

***

Referenced to the most stable arrangement, the calculated values in meV/atom are entry one 0; entry two 214.